Record 1
First-principles (PBE) data for Cd2InPb after structural relaxation, as listed in Alexandria.

The space group is R3m (No. 160, hexagonal axes) and the conventional cell measures 3.5900, 3.5900 and 29.1291 Å, with angles of 90.00, 90.00 and 120.00 degrees. The inequivalent atoms are Cd at (0.0000, 0.0000, 0.0000), Cd at (0.0000, 0.0000, 0.1734), In at (0.0000, 0.0000, 0.5871) and Pb at (0.0000, 0.0000, 0.7532).

The formation energy comes out at 54 meV/atom.



Record 2
First-principles (PBE) data for KRbMgHg after structural relaxation, as listed in Alexandria.

The space group is F-43m (No. 216) and the conventional cell measures 8.895, 8.895 and 8.895 Å, with angles of 90.00, 90.00 and 90.00 degrees. The inequivalent atoms are K at (0.000, 0.000, 0.000), Rb at (0.000, 0.000, 0.500), Mg at (0.250, 0.250, 0.250) and Hg at (0.250, 0.250, 0.750).

The formation energy comes out at 56 meV/atom.



Record 3
First-principles (PBE) data for PrZn4GaCu2 after structural relaxation, as listed in Alexandria.

The space group is R-3m (No. 166, hexagonal axes) and the conventional cell measures 4.2380, 4.2380 and 27.1293 Å, with angles of 90.00, 90.00 and 120.00 degrees. The inequivalent atoms are Pr at (0.0000, 0.0000, 0.0000), Zn at (0.0000, 0.0000, 0.1226), Zn at (0.0000, 0.0000, 0.4031), Ga at (0.0000, 0.0000, 0.5000) and Cu at (0.0000, 0.0000, 0.2420).

The formation energy comes out at -140 meV/atom.



Record 4
First-principles (PBE) data for HoLuTlSn after structural relaxation, as listed in Alexandria.

The space group is F-43m (No. 216) and the conventional cell measures 7.508, 7.508 and 7.508 Å, with angles of 90.00, 90.00 and 90.00 degrees. The inequivalent atoms are Ho at (0.000, 0.000, 0.000), Lu at (0.000, 0.000, 0.500), Tl at (0.250, 0.250, 0.750) and Sn at (0.250, 0.250, 0.250).

The formation energy comes out at -396 meV/atom.



Record 5
First-principles (PBE) data for Mn2NiPt after structural relaxation, as listed in Alexandria.

The space group is Pmm2 (No. 25) and the conventional cell measures 2.774, 3.855 and 5.279 Å, with angles of 90.00, 90.00 and 90.00 degrees. The inequivalent atoms are Mn at (0.000, 0.000, 0.000), Mn at (0.500, 0.500, 0.290), Ni at (0.000, 0.000, 0.481) and Pt at (0.500, 0.500, 0.780).

The formation energy comes out at -47 meV/atom.



Record 6
First-principles (PBE) data for HoTlAgCl5 after structural relaxation, as listed in Alexandria.

The space group is C2/c (No. 15) and the conventional cell measures 8.754, 12.469 and 10.126 Å, with angles of 90.00, 111.72 and 90.00 degrees. The inequivalent atoms are Ho at (0.000, 0.000, 0.000), Tl at (0.000, 0.347, 0.250), Ag at (0.000, 0.309, 0.750), Cl at (0.000, 0.067, 0.250), Cl at (0.105, 0.194, 0.590) and Cl at (0.191, 0.446, 0.935).

The uncorrected formation energy comes out at -1.517 eV/atom.